PmPrPt4 PBE-GGA relaxed; energy of formation = -6.27 eV per formula unit; total DFT energy (no corrections) = -6.669 eV/atom; space group = F-43m
1.0
0.000 3.894 3.894
3.894 0.000 3.894
3.894 3.894 0.000
Pm Pr Pt
1 1 4
direct
0.000 0.000 0.000 Pm
0.250 0.250 0.250 Pr
0.125 0.625 0.625 Pt
0.625 0.125 0.625 Pt
0.625 0.625 0.125 Pt
0.625 0.625 0.625 Pt